Record 1
DFT (PBE) results for a relaxed Cs2P2O5 crystal.

Output
Total moment: 0.0 Bohr magnetons per cell
Formation energy from raw total energies: -1.601 eV/atom
Space-group type: C2/m, No. 12
Total DFT energy (no corrections): -5.75 eV per atom

Lattice parameters (Å, degrees): 5.088 5.975 7.295 105.51 90.00 115.20
Fractional positions:
1 O 0.872 0.743 0.292
2 Cs 0.415 0.830 0.691
3 P 0.841 0.682 0.075
4 Cs 0.585 0.170 0.309
5 P 0.159 0.318 0.925
6 O 0.694 0.389 0.962
7 O 0.128 0.257 0.708
8 O 0.306 0.611 0.038
9 O 0.000 0.000 0.000

---

Record 2
DFT (PBE) results for a relaxed CsP2O crystal.

Output
Total moment: 0.0 Bohr magnetons per cell
Formation energy from raw total energies: 0.009 eV/atom
Space-group type: I4_1/amd, No. 141
Total DFT energy (no corrections): -4.15 eV per atom

Lattice parameters (Å, degrees): 4.919 4.919 8.283 72.73 72.73 90.00
Fractional positions:
1 Cs 0.000 0.000 0.000
2 P 0.375 0.125 0.250
3 O 0.500 0.500 0.000
4 P 0.375 0.625 0.750
5 P 0.875 0.625 0.750
6 O 0.250 0.750 0.500
7 P 0.375 0.625 0.250
8 Cs 0.750 0.250 0.500

---

Record 3
DFT (PBE) results for a relaxed CsPO crystal.

Output
Total moment: 0.0 Bohr magnetons per cell
Formation energy from raw total energies: -0.700 eV/atom
Space-group type: Pnma, No. 62
Energy above the lowest structure with this stoichiometry: 20.29 kJ/mol of atoms
Total DFT energy (no corrections): -4.44 eV per atom

Lattice parameters (Å, degrees): 3.268 7.077 11.738 90.00 90.00 90.00
Fractional positions:
1 O 0.250 0.250 0.415
2 P 0.750 0.385 0.935
3 P 0.250 0.885 0.565
4 Cs 0.250 0.110 0.163
5 O 0.750 0.750 0.585
6 O 0.250 0.250 0.915
7 Cs 0.750 0.610 0.337
8 Cs 0.250 0.390 0.663
9 O 0.750 0.750 0.085
10 Cs 0.750 0.890 0.837
11 P 0.750 0.115 0.435
12 P 0.250 0.615 0.065

---

Record 4
DFT (PBE) results for a relaxed CsP3O crystal.

Output
Total moment: 0.0 Bohr magnetons per cell
Formation energy from raw total energies: 0.832 eV/atom
Space-group type: Pm-3m, No. 221
Energy above the lowest structure with this stoichiometry: 0.00 kJ/mol of atoms
Total DFT energy (no corrections): -3.58 eV per atom

Lattice parameters (Å, degrees): 4.609 4.609 4.609 90.00 90.00 90.00
Fractional positions:
1 O 0.000 0.000 0.000
2 P 0.000 0.500 0.000
3 P 0.000 0.000 0.500
4 P 0.500 0.000 0.000
5 Cs 0.500 0.500 0.500

---

Record 5
DFT (PBE) results for a relaxed Cs2PPbO4 crystal.

Output
Total moment: 2.0 Bohr magnetons per cell
Formation energy from raw total energies: -1.655 eV/atom
Space-group type: Fddd, No. 70
Total DFT energy (no corrections): -5.49 eV per atom

Lattice parameters (Å, degrees): 6.273 6.880 12.172 83.25 75.07 62.88
Fractional positions:
1 O 0.534 0.151 0.074
2 O 0.991 0.651 0.574
3 O 0.392 0.849 0.074
4 O 0.216 0.349 0.426
5 Cs 0.817 0.000 0.367
6 P 0.500 0.000 0.000
7 O 0.358 0.651 0.426
8 O 0.434 0.349 0.574
9 O 0.759 0.849 0.926
10 Cs 0.933 0.500 0.133
11 O 0.316 0.151 0.926
12 Cs 0.567 0.500 0.867
13 P 0.250 0.500 0.500
14 Pb 0.750 0.500 0.500
15 Cs 0.183 0.000 0.633
16 Pb 0.000 0.000 0.000

---

Record 6
DFT (PBE) results for a relaxed Cs3P2PbO8 crystal.

Output
Total moment: 1.1 Bohr magnetons per cell
Formation energy from raw total energies: -1.993 eV/atom
Space-group type: P-3m1, No. 164
Total DFT energy (no corrections): -6.05 eV per atom

Lattice parameters (Å, degrees): 6.184 6.184 8.450 90.00 90.00 120.00
Fractional positions:
1 O 0.805 0.610 0.676
2 O 0.195 0.805 0.324
3 O 0.390 0.195 0.676
4 Cs 0.000 0.000 0.000
5 Pb 0.000 0.000 0.500
6 P 0.333 0.667 0.266
7 P 0.667 0.333 0.734
8 O 0.805 0.195 0.676
9 O 0.610 0.805 0.324
10 O 0.195 0.390 0.324
11 Cs 0.333 0.667 0.728
12 Cs 0.667 0.333 0.272
13 O 0.667 0.333 0.918
14 O 0.333 0.667 0.082

---

Record 7
DFT (PBE) results for a relaxed CsP2PbO6 crystal.

Output
Total moment: 0.9 Bohr magnetons per cell
Formation energy from raw total energies: -1.764 eV/atom
Space-group type: C2/c, No. 15
Total DFT energy (no corrections): -6.28 eV per atom

Lattice parameters (Å, degrees): 7.696 7.696 6.094 99.05 99.05 93.29
Fractional positions:
1 O 0.325 0.432 0.355
2 O 0.986 0.373 0.243
3 O 0.568 0.675 0.145
4 O 0.373 0.986 0.743
5 P 0.840 0.708 0.722
6 Cs 0.813 0.187 0.750
7 O 0.806 0.840 0.940
8 O 0.675 0.568 0.645
9 O 0.014 0.627 0.757
10 O 0.840 0.806 0.440
11 P 0.160 0.292 0.278
12 O 0.194 0.160 0.060
13 Pb 0.385 0.615 0.750
14 Cs 0.187 0.813 0.250
15 P 0.292 0.160 0.778
16 O 0.432 0.325 0.855
17 Pb 0.615 0.385 0.250
18 P 0.708 0.840 0.222
19 O 0.160 0.194 0.560
20 O 0.627 0.014 0.257

---

Record 8
DFT (PBE) results for a relaxed CsPPbO2 crystal.

Output
Total moment: 0.0 Bohr magnetons per cell
Formation energy from raw total energies: 0.674 eV/atom
Space-group type: P4/mmm, No. 123
Total DFT energy (no corrections): -3.30 eV per atom

Lattice parameters (Å, degrees): 4.484 4.484 5.600 90.00 90.00 90.00
Fractional positions:
1 O 0.000 0.500 0.000
2 Pb 0.500 0.500 0.500
3 O 0.500 0.000 0.000
4 Cs 0.000 0.000 0.000
5 P 0.000 0.000 0.500

---

Record 9
DFT (PBE) results for a relaxed CsPPdO crystal.

Output
Total moment: 0.0 Bohr magnetons per cell
Formation energy from raw total energies: -0.825 eV/atom
Space-group type: Pm, No. 6
Energy above the lowest structure with this stoichiometry: 16.62 kJ/mol of atoms
Total DFT energy (no corrections): -4.93 eV per atom

Lattice parameters (Å, degrees): 4.500 3.487 6.050 90.00 100.52 90.00
Fractional positions:
1 Pd 0.222 0.500 0.926
2 P 0.514 0.000 0.831
3 Cs 0.842 0.500 0.383
4 O 0.861 0.000 0.966

---

Record 10
DFT (PBE) results for a relaxed CsPPdO crystal.

Output
Total moment: 0.0 Bohr magnetons per cell
Formation energy from raw total energies: -0.884 eV/atom
Space-group type: Amm2, No. 38
Energy above the lowest structure with this stoichiometry: 10.93 kJ/mol of atoms
Total DFT energy (no corrections): -4.99 eV per atom

Lattice parameters (Å, degrees): 3.713 4.298 12.390 90.00 90.00 90.00
Fractional positions:
1 O 0.500 0.500 0.384
2 O 0.500 0.000 0.884
3 P 0.500 0.000 0.759
4 Cs 0.000 0.000 0.478
5 P 0.500 0.500 0.259
6 Pd 0.500 0.000 0.198
7 Cs 0.000 0.500 0.978
8 Pd 0.500 0.500 0.698

---

Record 11
DFT (PBE) results for a relaxed CsPPdO crystal.

Output
Total moment: 0.0 Bohr magnetons per cell
Formation energy from raw total energies: -0.998 eV/atom
Space-group type: Cm, No. 8
Energy above the lowest structure with this stoichiometry: 0.00 kJ/mol of atoms
Total DFT energy (no corrections): -5.10 eV per atom

Lattice parameters (Å, degrees): 6.780 4.436 6.209 90.00 98.34 90.00
Fractional positions:
1 Pd 0.214 0.500 0.964
2 Cs 0.648 0.500 0.645
3 P 0.134 0.500 0.317
4 O 0.899 0.500 0.287
5 P 0.134 0.000 0.817
6 O 0.899 0.000 0.787
7 Pd 0.214 0.000 0.464
8 Cs 0.648 0.000 0.145

---

Record 12
DFT (PBE) results for a relaxed CsP2Pd2O7 crystal.

Output
Total moment: 0.0 Bohr magnetons per cell
Formation energy from raw total energies: -1.385 eV/atom
Space-group type: R32, No. 155
Total DFT energy (no corrections): -6.12 eV per atom

Lattice parameters (Å, degrees): 5.378 5.378 8.986 72.59 72.59 60.00
Fractional positions:
1 O 0.619 0.156 0.239
2 O 0.015 0.844 0.761
3 O 0.985 0.619 0.239
4 O 0.844 0.381 0.761
5 P 0.937 0.937 0.189
6 O 0.381 0.015 0.761
7 O 0.156 0.985 0.239
8 Cs 0.500 0.500 0.500
9 O 0.000 0.000 0.000
10 Pd 0.303 0.303 0.090
11 P 0.063 0.063 0.811
12 Pd 0.697 0.697 0.910

---

Please write out number 10 again, unchanged.
DFT (PBE) results for a relaxed CsPPdO crystal.

Output
Total moment: 0.0 Bohr magnetons per cell
Formation energy from raw total energies: -0.884 eV/atom
Space-group type: Amm2, No. 38
Energy above the lowest structure with this stoichiometry: 10.93 kJ/mol of atoms
Total DFT energy (no corrections): -4.99 eV per atom

Lattice parameters (Å, degrees): 3.713 4.298 12.390 90.00 90.00 90.00
Fractional positions:
1 O 0.500 0.500 0.384
2 O 0.500 0.000 0.884
3 P 0.500 0.000 0.759
4 Cs 0.000 0.000 0.478
5 P 0.500 0.500 0.259
6 Pd 0.500 0.000 0.198
7 Cs 0.000 0.500 0.978
8 Pd 0.500 0.500 0.698

---

What did the fifth record say?
DFT (PBE) results for a relaxed Cs2PPbO4 crystal.

Output
Total moment: 2.0 Bohr magnetons per cell
Formation energy from raw total energies: -1.655 eV/atom
Space-group type: Fddd, No. 70
Total DFT energy (no corrections): -5.49 eV per atom

Lattice parameters (Å, degrees): 6.273 6.880 12.172 83.25 75.07 62.88
Fractional positions:
1 O 0.534 0.151 0.074
2 O 0.991 0.651 0.574
3 O 0.392 0.849 0.074
4 O 0.216 0.349 0.426
5 Cs 0.817 0.000 0.367
6 P 0.500 0.000 0.000
7 O 0.358 0.651 0.426
8 O 0.434 0.349 0.574
9 O 0.759 0.849 0.926
10 Cs 0.933 0.500 0.133
11 O 0.316 0.151 0.926
12 Cs 0.567 0.500 0.867
13 P 0.250 0.500 0.500
14 Pb 0.750 0.500 0.500
15 Cs 0.183 0.000 0.633
16 Pb 0.000 0.000 0.000

---

> Which of these has the highest formation energy from raw total energies?

CsP3O

---

> Which of these has the highest total DFT energy (no corrections)?

CsPPbO2